<a>
Compound: TbErSn
Source: the Alexandria database
Functional: GGA-PBE
Structure: optimized geometry

## Properties
density of states at the Fermi level = 3.86 states/eV per cell
space group = I4mm (107)

Lattice parameters (Å, degrees): 4.0575 4.0575 5.7538 110.65 110.65 90.00
Last column: magnetic moment on the atom in μB.
Fractional positions:
Tb1 0.9578 0.9578 0.9157  0.31
Sn1 0.6180 0.6180 0.2359  0.00
Er1 0.2742 0.2742 0.5484  0.33



<b>
Compound: TbErSn
Source: the Alexandria database
Functional: GGA-PBE
Structure: optimized geometry

## Properties
density of states at the Fermi level = 14.40 states/eV per cell
space group = P4_2/mmc (131)

Lattice parameters (Å, degrees): 6.0146 8.0235 8.0235 90.00 90.00 90.00
Fractional positions:
Sn1 0.0000 0.5000 0.7557
Sn2 0.5000 0.2443 0.5000
Sn3 0.5000 0.7557 0.5000
Sn4 0.0000 0.5000 0.2443
Er1 0.0000 0.7831 0.5000
Er2 0.5000 0.5000 0.7831
Er3 0.5000 0.5000 0.2169
Er4 0.0000 0.2169 0.5000
Tb1 0.0000 0.7913 0.0000
Tb2 0.5000 0.0000 0.7913
Tb3 0.5000 0.0000 0.2087
Tb4 0.0000 0.2087 0.0000



<c>
Compound: TbErSn
Source: the Alexandria database
Functional: GGA-PBE
Structure: optimized geometry

## Properties
density of states at the Fermi level = 6.07 states/eV per cell
space group = Pnma (62)

Lattice parameters (Å, degrees): 4.8739 6.7834 10.1248 90.00 90.00 90.00
Fractional positions:
Tb1 0.7500 0.0721 0.2054
Tb2 0.2500 0.4279 0.7054
Tb3 0.2500 0.9279 0.7946
Tb4 0.7500 0.5721 0.2946
Er1 0.7500 0.1611 0.5491
Er2 0.2500 0.3389 0.0491
Er3 0.2500 0.8389 0.4509
Er4 0.7500 0.6611 0.9509
Sn1 0.7500 0.6989 0.6274
Sn2 0.2500 0.8011 0.1274
Sn3 0.2500 0.3011 0.3726
Sn4 0.7500 0.1989 0.8726



Compare the structures above. Which one is the least stable? <b> is.